Record 1
# KCN2F

An optimized crystal structure of KCN2F (PBE, Alexandria).

Summary:
Calculated volume ... 13.46 Å³/atom
Energy above the most stable polymorph in this dataset ... 0 meV/atom
Formation energy (no corrections) ... 0.90 eV per atom
DFT total energy ... -24.329 eV per cell
SG ... No. 123
Magnetic moment ... 0.00 μB/atom

Cell: 3.1797 3.1797 6.6573 Å, 90.00 90.00 90.00°
Fractional coordinates of all 5 atoms:
K1 0.0000 0.0000 0.0000
C1 0.5000 0.5000 0.5000
N1 0.0000 0.5000 0.5000
N2 0.5000 0.0000 0.5000
F1 0.5000 0.5000 0.0000

Record 2
# KCNF2

An optimized crystal structure of KCNF2 (PBE, Alexandria).

Summary:
Calculated volume ... 11.43 Å³/atom
Energy above the most stable polymorph in this dataset ... 0 meV/atom
Formation energy (no corrections) ... -0.72 eV per atom
DFT total energy ... -25.995 eV per cell
SG ... No. 123
Magnetic moment ... 0.04 μB/atom

Cell: 4.7563 4.7563 2.5258 Å, 90.00 90.00 90.00°
Fractional coordinates of all 5 atoms:
K1 0.0000 0.0000 0.0000
C1 0.5000 0.5000 0.5000
N1 0.5000 0.5000 0.0000
F1 0.0000 0.5000 0.5000
F2 0.5000 0.0000 0.5000

Record 3
# KCNF2

An optimized crystal structure of KCNF2 (PBE, Alexandria).

Summary:
Calculated volume ... 25.24 Å³/atom
Energy above the most stable polymorph in this dataset ... 2305 meV/atom
Formation energy (no corrections) ... 1.58 eV per atom
DFT total energy ... -14.469 eV per cell
SG ... No. 123
Magnetic moment ... 0.40 μB/atom

Cell: 4.8761 4.8761 5.3082 Å, 90.00 90.00 90.00°
Fractional coordinates of all 5 atoms:
K1 0.0000 0.0000 0.0000
C1 0.5000 0.5000 0.5000
N1 0.0000 0.0000 0.5000
F1 0.0000 0.5000 0.0000
F2 0.5000 0.0000 0.0000

Record 4
# KCN2F

An optimized crystal structure of KCN2F (PBE, Alexandria).

Summary:
Calculated volume ... 31.10 Å³/atom
Energy above the most stable polymorph in this dataset ... 1885 meV/atom
Formation energy (no corrections) ... 2.79 eV per atom
DFT total energy ... -14.904 eV per cell
SG ... No. 123
Magnetic moment ... 1.20 μB/atom

Cell: 5.6896 5.6896 4.8031 Å, 90.00 90.00 90.00°
Fractional coordinates of all 5 atoms:
K1 0.0000 0.0000 0.0000
C1 0.5000 0.5000 0.5000
N1 0.0000 0.5000 0.0000
N2 0.5000 0.0000 0.0000
F1 0.0000 0.0000 0.5000

Record 5
# KCOF2

An optimized crystal structure of KCOF2 (PBE, Alexandria).

Summary:
Calculated volume ... 11.44 Å³/atom
Energy above the most stable polymorph in this dataset ... 0 meV/atom
Formation energy (no corrections) ... -0.64 eV per atom
DFT total energy ... -22.199 eV per cell
SG ... No. 123
Magnetic moment ... 0.00 μB/atom

Cell: 4.3975 4.3975 2.9585 Å, 90.00 90.00 90.00°
Fractional coordinates of all 5 atoms:
K1 0.0000 0.0000 0.0000
C1 0.5000 0.5000 0.5000
O1 0.5000 0.5000 0.0000
F1 0.0000 0.5000 0.5000
F2 0.5000 0.0000 0.5000

Record 6
# KCOF2

An optimized crystal structure of KCOF2 (PBE, Alexandria).

Summary:
Calculated volume ... 23.67 Å³/atom
Energy above the most stable polymorph in this dataset ... 1746 meV/atom
Formation energy (no corrections) ... 1.11 eV per atom
DFT total energy ... -13.468 eV per cell
SG ... No. 123
Magnetic moment ... 0.04 μB/atom

Cell: 4.7715 4.7715 5.1992 Å, 90.00 90.00 90.00°
Fractional coordinates of all 5 atoms:
K1 0.0000 0.0000 0.0000
C1 0.5000 0.5000 0.5000
O1 0.0000 0.0000 0.5000
F1 0.0000 0.5000 0.0000
F2 0.5000 0.0000 0.0000

Record 7
# KPb2C2O6F

An optimized crystal structure of KPb2C2O6F (PBE, Alexandria).

Summary:
Calculated volume ... 14.94 Å³/atom
Formation energy (no corrections) ... -1.64 eV per atom
DFT total energy ... -156.421 eV per cell
SG ... No. 194
Magnetic moment ... 0.00 μB/atom

Cell: 5.3660 5.3660 14.3764 Å, 90.00 90.00 120.00°
Fractional coordinates of all 24 atoms:
K1 0.3333 0.6667 0.2500
K2 0.6667 0.3333 0.7500
Pb1 0.3333 0.6667 0.5852
Pb2 0.3333 0.6667 0.9148
Pb3 0.6667 0.3333 0.0852
Pb4 0.6667 0.3333 0.4148
C1 0.0000 0.0000 0.1061
C2 0.0000 0.0000 0.3939
C3 0.0000 0.0000 0.6061
C4 0.0000 0.0000 0.8939
O1 0.1400 0.2800 0.1058
O2 0.1400 0.2800 0.3942
O3 0.1400 0.8600 0.1058
O4 0.1400 0.8600 0.3942
O5 0.2800 0.1400 0.6058
O6 0.2800 0.1400 0.8942
O7 0.7200 0.8600 0.1058
O8 0.7200 0.8600 0.3942
O9 0.8600 0.1400 0.6058
O10 0.8600 0.1400 0.8942
O11 0.8600 0.7200 0.6058
O12 0.8600 0.7200 0.8942
F1 0.3333 0.6667 0.7500
F2 0.6667 0.3333 0.2500

Record 8
# KSrCO3F

An optimized crystal structure of KSrCO3F (PBE, Alexandria).

Summary:
Calculated volume ... 16.71 Å³/atom
Formation energy (no corrections) ... -2.43 eV per atom
DFT total energy ... -45.742 eV per cell
SG ... No. 187
Magnetic moment ... 0.00 μB/atom

Cell: 5.3236 5.3236 4.7652 Å, 90.00 90.00 120.00°
Fractional coordinates of all 7 atoms:
K1 0.0000 0.0000 0.0000
Sr1 0.6667 0.3333 0.5000
C1 0.3333 0.6667 0.5000
O1 0.1920 0.3840 0.5000
O2 0.1920 0.8080 0.5000
O3 0.6160 0.8080 0.5000
F1 0.6667 0.3333 0.0000

Record 9
# K2RhCF

An optimized crystal structure of K2RhCF (PBE, Alexandria).

Summary:
Calculated volume ... 30.12 Å³/atom
Formation energy (no corrections) ... 0.79 eV per atom
DFT total energy ... -16.668 eV per cell
SG ... No. 123
Magnetic moment ... 0.77 μB/atom

Cell: 6.1088 6.1088 4.0353 Å, 90.00 90.00 90.00°
Fractional coordinates of all 5 atoms:
K1 0.0000 0.5000 0.0000
K2 0.5000 0.0000 0.0000
Rh1 0.0000 0.0000 0.0000
C1 0.5000 0.5000 0.5000
F1 0.0000 0.0000 0.5000

Record 10
# KScC2F

An optimized crystal structure of KScC2F (PBE, Alexandria).

Summary:
Calculated volume ... 15.03 Å³/atom
Formation energy (no corrections) ... 1.51 eV per atom
DFT total energy ... -20.176 eV per cell
SG ... No. 123
Magnetic moment ... 0.00 μB/atom

Cell: 4.2360 4.2360 4.1873 Å, 90.00 90.00 90.00°
Fractional coordinates of all 5 atoms:
K1 0.0000 0.0000 0.0000
Sc1 0.5000 0.5000 0.0000
C1 0.0000 0.5000 0.5000
C2 0.5000 0.0000 0.5000
F1 0.0000 0.0000 0.5000

Record 11
# KSr2CF

An optimized crystal structure of KSr2CF (PBE, Alexandria).

Summary:
Calculated volume ... 34.88 Å³/atom
Formation energy (no corrections) ... 0.85 eV per atom
DFT total energy ... -11.282 eV per cell
SG ... No. 123
Magnetic moment ... 0.00 μB/atom

Cell: 6.3162 6.3162 4.3710 Å, 90.00 90.00 90.00°
Fractional coordinates of all 5 atoms:
K1 0.0000 0.0000 0.0000
Sr1 0.0000 0.5000 0.0000
Sr2 0.5000 0.0000 0.0000
C1 0.0000 0.0000 0.5000
F1 0.5000 0.5000 0.5000

Record 12
# La2CF

An optimized crystal structure of La2CF (PBE, Alexandria).

Summary:
Calculated volume ... 19.86 Å³/atom
Energy above the most stable polymorph in this dataset ... 0 meV/atom
Formation energy (no corrections) ... -1.49 eV per atom
DFT total energy ... -26.891 eV per cell
SG ... No. 166
Magnetic moment ... 0.00 μB/atom

Cell: 6.7548 6.7548 6.7548 Å, 32.57 32.57 32.57°
Fractional coordinates of all 4 atoms:
La1 0.2417 0.2417 0.2417
La2 0.7583 0.7583 0.7583
C1 0.5000 0.5000 0.5000
F1 0.0000 0.0000 0.0000